No. 1
! PBE LiUGe, optimized geometry; values from VASP
&SYSTEM
  ibrav = 0, nat = 6, ntyp = 3
/
ATOMIC_SPECIES
U 238.03 U.upf
Li 6.94 Li.upf
Ge 72.64 Ge.upf
ATOMIC_POSITIONS crystal
U 0.250 0.500 0.500
U 0.750 0.500 0.500
Li 0.826 0.348 0.000
Li 0.174 0.652 0.000
Ge 0.601 0.000 0.798
Ge 0.399 0.000 0.202
CELL_PARAMETERS angstrom
5.474 0.000 0.000
2.737 3.557 0.000
2.737 0.000 6.517
! ΔH_f (0 K), eV per atom: 0.08
! E, eV/atom: -5.862
! DOS(E_F), states/eV/f.u.: 4.8
! Mass density, g/cm3: 8.31

---

No. 2
! PBE LiUGe2, optimized geometry; values from VASP
&SYSTEM
  ibrav = 0, nat = 4, ntyp = 3
/
ATOMIC_SPECIES
Li 6.94 Li.upf
Ge 72.64 Ge.upf
U 238.03 U.upf
ATOMIC_POSITIONS crystal
Li 0.500 0.500 0.500
Ge 0.000 0.000 0.267
Ge 0.000 0.000 0.733
U 0.500 0.500 0.000
CELL_PARAMETERS angstrom
-1.760 -0.272 -2.147
0.058 -2.773 0.303
-7.075 0.479 5.741
! ΔH_f (0 K), eV per atom: -0.21
! E, eV/atom: -5.818
! DOS(E_F), states/eV/f.u.: 2.3
! Mass density, g/cm3: 9.13
! Polymorph energy (0 for the lowest one), meV per atom: 0

---

No. 3
! PBE LiUGe2, optimized geometry; values from VASP
&SYSTEM
  ibrav = 0, nat = 4, ntyp = 3
/
ATOMIC_SPECIES
U 238.03 U.upf
Li 6.94 Li.upf
Ge 72.64 Ge.upf
ATOMIC_POSITIONS crystal
U 0.500 0.500 0.500
Li 0.500 0.000 0.000
Ge 0.000 0.500 0.000
Ge 0.000 0.000 0.500
CELL_PARAMETERS angstrom
3.961 0.000 0.000
0.000 4.394 0.000
0.000 0.000 4.394
! ΔH_f (0 K), eV per atom: -0.21
! E, eV/atom: -5.817
! DOS(E_F), states/eV/f.u.: 6.7
! Mass density, g/cm3: 8.47
! Polymorph energy (0 for the lowest one), meV per atom: 1

---

No. 4
! PBE LiUGe2, optimized geometry; values from VASP
&SYSTEM
  ibrav = 0, nat = 4, ntyp = 3
/
ATOMIC_SPECIES
Ge 72.64 Ge.upf
Li 6.94 Li.upf
U 238.03 U.upf
ATOMIC_POSITIONS crystal
Ge 0.250 0.250 0.250
Ge 0.750 0.750 0.750
Li 0.500 0.500 0.500
U 0.000 0.000 0.000
CELL_PARAMETERS angstrom
-0.904 -3.243 -3.379
2.836 -3.806 -0.473
-1.595 -4.328 1.214
! ΔH_f (0 K), eV per atom: -0.16
! E, eV/atom: -5.771
! DOS(E_F), states/eV/f.u.: 7.0
! Mass density, g/cm3: 8.45
! Polymorph energy (0 for the lowest one), meV per atom: 48

---

No. 5
! PBE LiVGe3, optimized geometry; values from VASP
&SYSTEM
  ibrav = 0, nat = 5, ntyp = 3
/
ATOMIC_SPECIES
Ge 72.64 Ge.upf
Li 6.94 Li.upf
V 50.94 V.upf
ATOMIC_POSITIONS crystal
Ge 0.500 0.000 0.000
Ge 0.000 0.500 0.000
Ge 0.000 0.000 0.500
Li 0.500 0.500 0.500
V 0.000 0.000 0.000
CELL_PARAMETERS angstrom
-4.202 -1.101 1.923
0.576 -4.524 -1.332
2.139 -0.945 4.135
! ΔH_f (0 K), eV per atom: 0.06
! E, eV/atom: -4.912
! DOS(E_F), states/eV/f.u.: 2.6
! Mass density, g/cm3: 4.27
! Polymorph energy (0 for the lowest one), meV per atom: 0

---

No. 6
! PBE LiV2Ge2, optimized geometry; values from VASP
&SYSTEM
  ibrav = 0, nat = 5, ntyp = 3
/
ATOMIC_SPECIES
V 50.94 V.upf
Ge 72.64 Ge.upf
Li 6.94 Li.upf
ATOMIC_POSITIONS crystal
V 0.750 0.250 0.500
V 0.250 0.750 0.500
Ge 0.600 0.600 0.799
Ge 0.400 0.400 0.201
Li 0.000 0.000 0.000
CELL_PARAMETERS angstrom
-3.552 0.632 -0.353
0.073 -1.448 -3.322
-2.946 -5.869 0.516
! ΔH_f (0 K), eV per atom: -0.02
! E, eV/atom: -5.894
! DOS(E_F), states/eV/f.u.: 6.5
! Mass density, g/cm3: 5.29

---

No. 7
! PBE Li2VGe, optimized geometry; values from VASP
&SYSTEM
  ibrav = 0, nat = 8, ntyp = 3
/
ATOMIC_SPECIES
Ge 72.64 Ge.upf
Li 6.94 Li.upf
V 50.94 V.upf
ATOMIC_POSITIONS crystal
Ge 0.750 0.250 0.500
Ge 0.000 0.000 0.000
Li 0.105 0.625 0.250
Li 0.645 0.125 0.250
Li 0.375 0.355 0.750
Li 0.875 0.895 0.750
V 0.500 0.500 0.000
V 0.250 0.750 0.500
CELL_PARAMETERS angstrom
7.192 0.000 0.000
0.000 7.192 0.000
3.596 3.596 2.543
! ΔH_f (0 K), eV per atom: 0.26
! E, eV/atom: -4.127
! DOS(E_F), states/eV/f.u.: 0.8
! Mass density, g/cm3: 3.47

---

No. 8
! PBE LiV2Ge, optimized geometry; values from VASP
&SYSTEM
  ibrav = 0, nat = 8, ntyp = 3
/
ATOMIC_SPECIES
V 50.94 V.upf
Li 6.94 Li.upf
Ge 72.64 Ge.upf
ATOMIC_POSITIONS crystal
V 0.120 0.625 0.250
V 0.875 0.880 0.750
V 0.630 0.125 0.250
V 0.375 0.370 0.750
Li 0.250 0.750 0.500
Li 0.500 0.500 0.000
Ge 0.750 0.250 0.500
Ge 0.000 0.000 0.000
CELL_PARAMETERS angstrom
6.825 0.000 0.000
0.000 6.825 0.000
3.412 3.412 2.463
! ΔH_f (0 K), eV per atom: 0.37
! E, eV/atom: -5.827
! DOS(E_F), states/eV/f.u.: 4.1
! Mass density, g/cm3: 5.25

---

What did the third record say?
! PBE LiUGe2, optimized geometry; values from VASP
&SYSTEM
  ibrav = 0, nat = 4, ntyp = 3
/
ATOMIC_SPECIES
U 238.03 U.upf
Li 6.94 Li.upf
Ge 72.64 Ge.upf
ATOMIC_POSITIONS crystal
U 0.500 0.500 0.500
Li 0.500 0.000 0.000
Ge 0.000 0.500 0.000
Ge 0.000 0.000 0.500
CELL_PARAMETERS angstrom
3.961 0.000 0.000
0.000 4.394 0.000
0.000 0.000 4.394
! ΔH_f (0 K), eV per atom: -0.21
! E, eV/atom: -5.817
! DOS(E_F), states/eV/f.u.: 6.7
! Mass density, g/cm3: 8.47
! Polymorph energy (0 for the lowest one), meV per atom: 1

---

Repeat the second record exactly.
! PBE LiUGe2, optimized geometry; values from VASP
&SYSTEM
  ibrav = 0, nat = 4, ntyp = 3
/
ATOMIC_SPECIES
Li 6.94 Li.upf
Ge 72.64 Ge.upf
U 238.03 U.upf
ATOMIC_POSITIONS crystal
Li 0.500 0.500 0.500
Ge 0.000 0.000 0.267
Ge 0.000 0.000 0.733
U 0.500 0.500 0.000
CELL_PARAMETERS angstrom
-1.760 -0.272 -2.147
0.058 -2.773 0.303
-7.075 0.479 5.741
! ΔH_f (0 K), eV per atom: -0.21
! E, eV/atom: -5.818
! DOS(E_F), states/eV/f.u.: 2.3
! Mass density, g/cm3: 9.13
! Polymorph energy (0 for the lowest one), meV per atom: 0